# 1
Below is a relaxed structure of PmSbAu2, with properties calculated at the PBE level.

Output
Fermi-level density of states ... 0.686 states/eV per atom
Relative energy among the computed polymorphs ... 33 meV/atom
Energy relative to the elements, uncorrected ... -57.2 kJ per mole of atoms

Structure (CIF):
```
data_PmSbAu2
_cell_length_a 4.4894
_cell_length_b 4.4894
_cell_length_c 4.5744
_cell_angle_alpha 90.00
_cell_angle_beta 90.00
_cell_angle_gamma 90.00
_space_group_name_H-M_alt 'P 4/m m m'
_space_group_IT_number 123
_space_group_name_Hall '-P 4 2'
loop_
_atom_site_label
_atom_site_fract_x
_atom_site_fract_y
_atom_site_fract_z
Pm1 0.0000 0.0000 0.0000
Sb1 0.5000 0.5000 0.0000
Au1 0.0000 0.5000 0.5000
```

---

# 2
Below is a relaxed structure of TaAlAu, with properties calculated at the PBE level.

Output
Fermi-level density of states ... 0.447 states/eV per atom
E_form ... -23.5 kJ per mole of atoms

Structure (CIF):
```
data_TaAlAu
_cell_length_a 3.4136
_cell_length_b 3.4499
_cell_length_c 8.8740
_cell_angle_alpha 89.99
_cell_angle_beta 89.88
_cell_angle_gamma 89.78
_space_group_name_H-M_alt 'P -1'
_space_group_IT_number 2
loop_
_space_group_symop_operation_xyz
'x,y,z'
'-x,-y,-z'
loop_
_atom_site_label
_atom_site_fract_x
_atom_site_fract_y
_atom_site_fract_z
Ta1 0.2497 0.2495 0.0718
Al1 0.2518 0.2507 0.7442
Au1 0.2482 0.2491 0.3952
```

---

# 3
Below is a relaxed structure of Ac5Ag2N2, with properties calculated at the PBE level.

Output
Fermi-level density of states ... 0.782 states/eV per atom
Energy relative to the elements, uncorrected ... -55.5 kJ per mole of atoms

Structure (CIF):
```
data_Ac5Ag2N2
_cell_length_a 19.7300
_cell_length_b 7.6591
_cell_length_c 7.4076
_cell_angle_alpha 90.00
_cell_angle_beta 90.00
_cell_angle_gamma 90.00
_space_group_name_H-M_alt 'I m a 2'
_space_group_IT_number 46
loop_
_space_group_symop_operation_xyz
'x,y,z'
'-x,-y,z'
'-x+1/2,y,z'
'x+1/2,-y,z'
'x+1/2,y+1/2,z+1/2'
'-x+1/2,-y+1/2,z+1/2'
'-x,y+1/2,z+1/2'
'x,-y+1/2,z+1/2'
loop_
_atom_site_label
_atom_site_fract_x
_atom_site_fract_y
_atom_site_fract_z
Ac1 0.0149 0.2450 0.0000
Ac2 0.1429 0.5629 0.2201
Ac3 0.2500 0.1331 0.1344
Ag1 0.1041 0.5222 0.7550
N1 0.0000 0.0000 0.7293
N2 0.2500 0.0787 0.7939
```

---

# 4
Below is a relaxed structure of Hf2CuBr, with properties calculated at the PBE level.

Output
Fermi-level density of states ... 0.750 states/eV per atom
Relative energy among the computed polymorphs ... 433 meV/atom
Energy relative to the elements, uncorrected ... 51.9 kJ per mole of atoms

Structure (CIF):
```
data_Hf2CuBr
_cell_length_a 5.6981
_cell_length_b 5.6981
_cell_length_c 12.6760
_cell_angle_alpha 90.00
_cell_angle_beta 90.00
_cell_angle_gamma 90.00
_space_group_name_H-M_alt 'I -4 2 d'
_space_group_IT_number 122
_space_group_name_Hall 'I -4 2bw'
loop_
_atom_site_label
_atom_site_fract_x
_atom_site_fract_y
_atom_site_fract_z
Hf1 0.2027 0.2500 0.1250
Cu1 0.0000 0.0000 0.0000
Br1 0.0000 0.0000 0.5000
```

---

# 5
Below is a relaxed structure of Ba4LiGa, with properties calculated at the PBE level.

Output
Fermi-level density of states ... 1.276 states/eV per atom
Relative energy among the computed polymorphs ... 0 meV/atom
E_form ... -9.7 kJ per mole of atoms

Structure (CIF):
```
data_Ba4LiGa
_cell_length_a 4.2515
_cell_length_b 4.2515
_cell_length_c 15.3390
_cell_angle_alpha 90.00
_cell_angle_beta 90.00
_cell_angle_gamma 90.00
_space_group_name_H-M_alt 'P 4/m m m'
_space_group_IT_number 123
_space_group_name_Hall '-P 4 2'
loop_
_atom_site_label
_atom_site_fract_x
_atom_site_fract_y
_atom_site_fract_z
Ba1 0.0000 0.0000 0.1236
Ba2 0.5000 0.5000 0.3584
Li1 0.0000 0.0000 0.5000
Ga1 0.5000 0.5000 0.0000
```

---

# 6
Below is a relaxed structure of TbHo2Sc6, with properties calculated at the PBE level.

Output
Fermi-level density of states ... 2.028 states/eV per atom
Relative energy among the computed polymorphs ... 0 meV/atom
E_form ... 6.3 kJ per mole of atoms

Structure (CIF):
```
data_TbHo2Sc6
_cell_length_a 15.9058
_cell_length_b 9.1809
_cell_length_c 3.2767
_cell_angle_alpha 90.00
_cell_angle_beta 90.13
_cell_angle_gamma 90.00
_space_group_name_H-M_alt 'C 1 2/m 1'
_space_group_IT_number 12
loop_
_space_group_symop_operation_xyz
'x,y,z'
'-x,-y,-z'
'-x,y,-z'
'x,-y,z'
'x+1/2,y+1/2,z'
'-x+1/2,-y+1/2,-z'
'-x+1/2,y+1/2,-z'
'x+1/2,-y+1/2,z'
loop_
_atom_site_label
_atom_site_fract_x
_atom_site_fract_y
_atom_site_fract_z
Tb1 0.0000 0.0000 0.0000
Ho1 0.1667 0.5000 0.9999
Sc1 0.0000 0.3339 0.5000
Sc2 0.1670 0.1669 0.4999
```

---

# 7
Below is a relaxed structure of TeIr2, with properties calculated at the PBE level.

Output
Fermi-level density of states ... 0.686 states/eV per atom
Relative energy among the computed polymorphs ... 286 meV/atom
Energy relative to the elements, uncorrected ... 28.2 kJ per mole of atoms

Structure (CIF):
```
data_TeIr2
_cell_length_a 11.2359
_cell_length_b 3.5535
_cell_length_c 6.3515
_cell_angle_alpha 90.00
_cell_angle_beta 119.58
_cell_angle_gamma 90.00
_space_group_name_H-M_alt 'C 1 2/m 1'
_space_group_IT_number 12
loop_
_space_group_symop_operation_xyz
'x,y,z'
'-x,-y,-z'
'-x,y,-z'
'x,-y,z'
'x+1/2,y+1/2,z'
'-x+1/2,-y+1/2,-z'
'-x+1/2,y+1/2,-z'
'x+1/2,-y+1/2,z'
loop_
_atom_site_label
_atom_site_fract_x
_atom_site_fract_y
_atom_site_fract_z
Te1 0.1683 0.0000 0.1142
Ir1 0.0688 0.5000 0.7391
Ir2 0.1350 0.0000 0.4849
```

---

# 8
Below is a relaxed structure of Sc2ZnAu, with properties calculated at the PBE level.

Output
Fermi-level density of states ... 1.017 states/eV per atom
E_form ... -40.2 kJ per mole of atoms

Structure (CIF):
```
data_Sc2ZnAu
_cell_length_a 4.0870
_cell_length_b 4.0870
_cell_length_c 9.1449
_cell_angle_alpha 90.00
_cell_angle_beta 90.00
_cell_angle_gamma 90.00
_space_group_name_H-M_alt 'I -4 m 2'
_space_group_IT_number 119
_space_group_name_Hall 'I -4 -2'
loop_
_atom_site_label
_atom_site_fract_x
_atom_site_fract_y
_atom_site_fract_z
Sc1 0.0000 0.0000 0.0000
Sc2 0.0000 0.5000 0.2500
Zn1 0.0000 0.5000 0.7500
Au1 0.0000 0.0000 0.5000
```

---

# 9
Below is a relaxed structure of Ba2BeAlAu6, with properties calculated at the PBE level.

Output
Fermi-level density of states ... 0.413 states/eV per atom
E_form ... -49.2 kJ per mole of atoms

Structure (CIF):
```
data_Ba2BeAlAu6
_cell_length_a 9.8518
_cell_length_b 9.8735
_cell_length_c 9.9005
_cell_angle_alpha 90.00
_cell_angle_beta 90.00
_cell_angle_gamma 90.00
_space_group_name_H-M_alt 'F m m m'
_space_group_IT_number 69
_space_group_name_Hall '-F 2 2'
loop_
_atom_site_label
_atom_site_fract_x
_atom_site_fract_y
_atom_site_fract_z
Ba1 0.2500 0.2500 0.2500
Be1 0.0000 0.0000 0.0000
Al1 0.0000 0.0000 0.5000
Au1 0.0000 0.0000 0.2367
Au2 0.0000 0.2368 0.0000
Au3 0.2369 0.0000 0.0000
```

---

# 10
Below is a relaxed structure of Ca6Ag2Pt, with properties calculated at the PBE level.

Output
Fermi-level density of states ... 0.722 states/eV per atom
E_form ... -32.7 kJ per mole of atoms

Structure (CIF):
```
data_Ca6Ag2Pt
_cell_length_a 9.9527
_cell_length_b 10.2206
_cell_length_c 10.4012
_cell_angle_alpha 90.00
_cell_angle_beta 90.00
_cell_angle_gamma 90.00
_space_group_name_H-M_alt 'I m m m'
_space_group_IT_number 71
_space_group_name_Hall '-I 2 2'
loop_
_atom_site_label
_atom_site_fract_x
_atom_site_fract_y
_atom_site_fract_z
Ca1 0.0000 0.1866 0.2398
Ca2 0.2123 0.5000 0.3353
Ca3 0.2468 0.3320 0.0000
Ag1 0.0000 0.3484 0.5000
Ag2 0.0000 0.5000 0.1313
Pt1 0.0000 0.0000 0.0000
Pt2 0.0000 0.0000 0.5000
```

---

# 11
Below is a relaxed structure of AcTmAg2S4, with properties calculated at the PBE level.

Output
Energy relative to the elements, uncorrected ... -118.9 kJ per mole of atoms

Structure (CIF):
```
data_AcTmAg2S4
_cell_length_a 6.8110
_cell_length_b 7.0507
_cell_length_c 8.0766
_cell_angle_alpha 90.00
_cell_angle_beta 90.00
_cell_angle_gamma 90.00
_space_group_name_H-M_alt 'I 2 2 2'
_space_group_IT_number 23
loop_
_space_group_symop_operation_xyz
'x,y,z'
'-x,-y,z'
'x,-y,-z'
'-x,y,-z'
'x+1/2,y+1/2,z+1/2'
'-x+1/2,-y+1/2,z+1/2'
'x+1/2,-y+1/2,-z+1/2'
'-x+1/2,y+1/2,-z+1/2'
loop_
_atom_site_label
_atom_site_fract_x
_atom_site_fract_y
_atom_site_fract_z
Ac1 0.0000 0.0000 0.0000
Tm1 0.0000 0.0000 0.5000
Ag1 0.0000 0.5000 0.1775
S1 0.2160 0.2201 0.3205
```

---

# 12
Below is a relaxed structure of Sm2Dy5Tm12, with properties calculated at the PBE level.

Output
Fermi-level density of states ... 1.365 states/eV per atom
Relative energy among the computed polymorphs ... 0 meV/atom
E_form ... 2.3 kJ per mole of atoms

Structure (CIF):
```
data_Sm2Dy5Tm12
_cell_length_a 6.0889
_cell_length_b 9.3090
_cell_length_c 10.5434
_cell_angle_alpha 101.03
_cell_angle_beta 95.61
_cell_angle_gamma 90.10
_space_group_name_H-M_alt 'P -1'
_space_group_IT_number 2
loop_
_space_group_symop_operation_xyz
'x,y,z'
'-x,-y,-z'
loop_
_atom_site_label
_atom_site_fract_x
_atom_site_fract_y
_atom_site_fract_z
Sm1 0.0794 0.3156 0.4735
Dy1 0.2374 0.9473 0.4206
Dy2 0.3417 0.3682 0.0521
Dy3 0.5000 0.0000 0.0000
Tm1 0.0259 0.1048 0.1567
Tm2 0.1319 0.5261 0.7907
Tm3 0.1841 0.7366 0.1045
Tm4 0.2896 0.1580 0.7380
Tm5 0.3952 0.5790 0.3675
Tm6 0.4471 0.7900 0.6852
```

---

# 13
Below is a relaxed structure of Sr3IBr5, with properties calculated at the PBE level.

Output
Fermi-level density of states ... 0.000 states/eV per atom
Relative energy among the computed polymorphs ... 0 meV/atom
Energy relative to the elements, uncorrected ... -196.5 kJ per mole of atoms

Structure (CIF):
```
data_Sr3IBr5
_cell_length_a 10.0814
_cell_length_b 31.3577
_cell_length_c 4.7467
_cell_angle_alpha 90.00
_cell_angle_beta 90.00
_cell_angle_gamma 90.00
_space_group_name_H-M_alt 'C m m m'
_space_group_IT_number 65
_space_group_name_Hall '-C 2 2'
loop_
_atom_site_label
_atom_site_fract_x
_atom_site_fract_y
_atom_site_fract_z
Sr1 0.0000 0.0000 0.0000
Sr2 0.0000 0.1630 0.5000
Sr3 0.0000 0.3236 0.0000
Sr4 0.0000 0.5000 0.5000
I1 0.0000 0.3956 0.5000
Br1 0.0000 0.0640 0.5000
Br2 0.0000 0.2621 0.5000
Br3 0.1944 0.1682 0.0000
Br4 0.1955 0.5000 0.0000
```

---

# 14
Below is a relaxed structure of MnSi2Pb, with properties calculated at the PBE level.

Output
Fermi-level density of states ... 0.738 states/eV per atom
Energy relative to the elements, uncorrected ... 50.5 kJ per mole of atoms

Structure (CIF):
```
data_MnSi2Pb
_cell_length_a 3.5353
_cell_length_b 5.1917
_cell_length_c 8.3288
_cell_angle_alpha 90.00
_cell_angle_beta 90.00
_cell_angle_gamma 90.00
_space_group_name_H-M_alt 'I m m 2'
_space_group_IT_number 44
loop_
_space_group_symop_operation_xyz
'x,y,z'
'-x,-y,z'
'-x,y,z'
'x,-y,z'
'x+1/2,y+1/2,z+1/2'
'-x+1/2,-y+1/2,z+1/2'
'-x+1/2,y+1/2,z+1/2'
'x+1/2,-y+1/2,z+1/2'
loop_
_atom_site_label
_atom_site_fract_x
_atom_site_fract_y
_atom_site_fract_z
Mn1 0.0000 0.0000 0.0000
Si1 0.0000 0.0000 0.5793
Si2 0.0000 0.5000 0.2784
Pb1 0.0000 0.5000 0.7880
```

---

# 15
Below is a relaxed structure of InMo2Cl, with properties calculated at the PBE level.

Output
Fermi-level density of states ... 0.752 states/eV per atom
Relative energy among the computed polymorphs ... 686 meV/atom
Energy relative to the elements, uncorrected ... 77.9 kJ per mole of atoms

Structure (CIF):
```
data_InMo2Cl
_cell_length_a 4.0599
_cell_length_b 4.0599
_cell_length_c 19.0877
_cell_angle_alpha 90.00
_cell_angle_beta 90.00
_cell_angle_gamma 90.00
_space_group_name_H-M_alt 'I -4 2 d'
_space_group_IT_number 122
_space_group_name_Hall 'I -4 2bw'
loop_
_atom_site_label
_atom_site_fract_x
_atom_site_fract_y
_atom_site_fract_z
In1 0.0000 0.0000 0.0000
Mo1 0.1846 0.2500 0.6250
Cl1 0.0000 0.0000 0.5000
```

---

# 16
Below is a relaxed structure of CdAgMo2, with properties calculated at the PBE level.

Output
Fermi-level density of states ... 1.470 states/eV per atom
E_form ... 109.1 kJ per mole of atoms

Structure (CIF):
```
data_CdAgMo2
_cell_length_a 7.6088
_cell_length_b 7.6088
_cell_length_c 5.2175
_cell_angle_alpha 90.00
_cell_angle_beta 90.00
_cell_angle_gamma 90.00
_space_group_name_H-M_alt 'I -4 2 d'
_space_group_IT_number 122
_space_group_name_Hall 'I -4 2bw'
loop_
_atom_site_label
_atom_site_fract_x
_atom_site_fract_y
_atom_site_fract_z
Cd1 0.0000 0.0000 0.0000
Ag1 0.0000 0.0000 0.5000
Mo1 0.2416 0.2500 0.6250
```

---

# 17
Below is a relaxed structure of PuP3Pd3, with properties calculated at the PBE level.

Output
Fermi-level density of states ... 1.484 states/eV per atom
E_form ... -59.5 kJ per mole of atoms

Structure (CIF):
```
data_PuP3Pd3
_cell_length_a 6.8500
_cell_length_b 6.8500
_cell_length_c 19.4377
_cell_angle_alpha 90.00
_cell_angle_beta 90.00
_cell_angle_gamma 120.00
_space_group_name_H-M_alt 'R -3'
_space_group_IT_number 148
_space_group_name_Hall '-R 3'
loop_
_atom_site_label
_atom_site_fract_x
_atom_site_fract_y
_atom_site_fract_z
Pu1 0.0000 0.0000 0.1678
P1 0.0012 0.3519 0.4153
Pd1 0.0048 0.3123 0.6217
```

---

# 18
Below is a relaxed structure of Tb3Ce2Ho4, with properties calculated at the PBE level.

Output
Fermi-level density of states ... 1.924 states/eV per atom
E_form ... 21.8 kJ per mole of atoms

Structure (CIF):
```
data_Tb3Ce2Ho4
_cell_length_a 11.2523
_cell_length_b 4.7899
_cell_length_c 11.0076
_cell_angle_alpha 90.00
_cell_angle_beta 104.64
_cell_angle_gamma 90.00
_space_group_name_H-M_alt 'C 1 2/m 1'
_space_group_IT_number 12
loop_
_space_group_symop_operation_xyz
'x,y,z'
'-x,-y,-z'
'-x,y,-z'
'x,-y,z'
'x+1/2,y+1/2,z'
'-x+1/2,-y+1/2,-z'
'-x+1/2,y+1/2,-z'
'x+1/2,-y+1/2,z'
loop_
_atom_site_label
_atom_site_fract_x
_atom_site_fract_y
_atom_site_fract_z
Tb1 0.0000 0.0000 0.0000
Tb2 0.0409 0.5000 0.7558
Ce1 0.1193 0.0000 0.5554
Ho1 0.1698 0.0000 0.2927
Ho2 0.2267 0.5000 0.1027
```

---

# 19
Below is a relaxed structure of Tb3DyCo, with properties calculated at the PBE level.

Output
Fermi-level density of states ... 1.277 states/eV per atom
Relative energy among the computed polymorphs ... 94 meV/atom
E_form ... -1.0 kJ per mole of atoms

Structure (CIF):
```
data_Tb3DyCo
_cell_length_a 7.7807
_cell_length_b 7.3241
_cell_length_c 9.9582
_cell_angle_alpha 90.00
_cell_angle_beta 107.17
_cell_angle_gamma 90.00
_space_group_name_H-M_alt 'P 1 21/c 1'
_space_group_IT_number 14
loop_
_space_group_symop_operation_xyz
'x,y,z'
'-x,-y,-z'
'-x,y+1/2,-z+1/2'
'x,-y+1/2,z+1/2'
loop_
_atom_site_label
_atom_site_fract_x
_atom_site_fract_y
_atom_site_fract_z
Tb1 0.0808 0.1280 0.3911
Tb2 0.2119 0.5054 0.6170
Tb3 0.4156 0.7018 0.9691
Dy1 0.3130 0.0548 0.7460
Co1 0.0471 0.7447 0.3921
```

---

# 20
Below is a relaxed structure of La2Tb9Dy, with properties calculated at the PBE level.

Output
Fermi-level density of states ... 1.544 states/eV per atom
Relative energy among the computed polymorphs ... 55 meV/atom
E_form ... 7.8 kJ per mole of atoms

Structure (CIF):
```
data_La2Tb9Dy
_cell_length_a 11.3901
_cell_length_b 11.3901
_cell_length_c 3.4895
_cell_angle_alpha 90.00
_cell_angle_beta 90.00
_cell_angle_gamma 120.00
_space_group_name_H-M_alt 'P 6/m m m'
_space_group_IT_number 191
_space_group_name_Hall '-P 6 2'
loop_
_atom_site_label
_atom_site_fract_x
_atom_site_fract_y
_atom_site_fract_z
La1 0.3333 0.6667 0.0000
Tb1 0.0000 0.5000 0.0000
Tb2 0.1709 0.3419 0.5000
Dy1 0.0000 0.0000 0.0000
```

---

Record-wise total magnetic moment values, in Bohr magnetons per cell: 0.0; 0.0; 0.0; 0.0; 0.0; 0.0; 0.0; 0.0; 0.0; 0.0; 0.0; 0.0; 0.0; 6.7; 0.0; 0.0; 30.6; 2.5; 0.0; 0.0